This record from Alexandria via LeMat-Bulk describes Ga2Cu2Sn at its PBEsol-relaxed geometry. The functional is meta-GGA SCAN.

Summary:
Energy relative to the elements, eV/atom: 0.057
SG: I4/mmm

Lattice parameters (Å, degrees): 3.735 3.735 6.371 107.04 107.04 90.00
Sites, in units of the cell vectors:
Ga: 0.250 0.750 0.500
Ga: 0.750 0.250 0.500
Cu: 0.605 0.605 0.209
Cu: 0.395 0.395 0.791
Sn: 0.000 0.000 0.000

***

This record from Alexandria via LeMat-Bulk describes SrGa3Cu at its PBEsol-relaxed geometry. The functional is meta-GGA SCAN.

Summary:
Energy relative to the elements, eV/atom: 1.469
SG: Pm-3m

Lattice parameters (Å, degrees): 5.622 5.622 5.622 90.00 90.00 90.00
Sites, in units of the cell vectors:
Ga: 0.000 0.500 0.000
Ga: 0.000 0.000 0.500
Ga: 0.500 0.000 0.000
Sr: 0.000 0.000 0.000
Cu: 0.500 0.500 0.500

***

This record from Alexandria via LeMat-Bulk describes Ga5CuTe8 at its PBEsol-relaxed geometry. The functional is meta-GGA SCAN.

Summary:
Uncorrected formation energy, eV/atom: -0.3068
SG: P-42m

Lattice parameters (Å, degrees): 5.877 5.877 11.848 90.00 90.00 90.00
Sites, in units of the cell vectors:
Te: 0.236 0.764 0.390
Te: 0.727 0.273 0.885
Te: 0.764 0.764 0.610
Te: 0.727 0.727 0.115
Te: 0.273 0.273 0.115
Te: 0.764 0.236 0.390
Te: 0.236 0.236 0.610
Te: 0.273 0.727 0.885
Ga: 0.500 0.000 0.257
Ga: 0.000 0.500 0.743
Ga: 0.000 0.000 0.000
Ga: 0.500 0.000 0.743
Ga: 0.000 0.500 0.257
Cu: 0.500 0.500 0.500

***

This record from Alexandria via LeMat-Bulk describes YGaCuTe2 at its PBEsol-relaxed geometry. The functional is meta-GGA SCAN.

Summary:
Uncorrected formation energy, eV/atom: 0.4432
SG: P4/mmm

Lattice parameters (Å, degrees): 5.219 5.219 5.333 90.00 90.00 90.00
Sites, in units of the cell vectors:
Y: 0.000 0.000 0.500
Ga: 0.000 0.000 0.000
Cu: 0.500 0.500 0.500
Te: 0.000 0.500 0.000
Te: 0.500 0.000 0.000

***

This record from Alexandria via LeMat-Bulk describes TmGaCu2 at its PBEsol-relaxed geometry. The functional is meta-GGA SCAN.

Summary:
Energy relative to the elements, eV/atom: -0.425
SG: Fm-3m

Lattice parameters (Å, degrees): 4.427 4.427 4.427 60.00 60.00 60.00
Sites, in units of the cell vectors:
Cu: 0.250 0.250 0.250
Cu: 0.750 0.750 0.750
Ga: 0.000 0.000 0.000
Tm: 0.500 0.500 0.500

***

This record from Alexandria via LeMat-Bulk describes Tm2GaCu at its PBEsol-relaxed geometry. The functional is meta-GGA SCAN.

Summary:
Energy relative to the elements, eV/atom: -0.511
SG: Fm-3m

Lattice parameters (Å, degrees): 4.846 4.846 4.846 60.00 60.00 60.00
Sites, in units of the cell vectors:
Tm: 0.750 0.750 0.750
Tm: 0.250 0.250 0.250
Cu: 0.500 0.500 0.500
Ga: 0.000 0.000 0.000

***

This record from Alexandria via LeMat-Bulk describes Y3Ga9Cu2 at its PBEsol-relaxed geometry. The functional is meta-GGA SCAN.

Summary:
Energy relative to the elements, eV/atom: -0.595
SG: Immm

Lattice parameters (Å, degrees): 4.126 8.025 8.025 75.42 75.10 75.10
Sites, in units of the cell vectors:
Ga: 0.338 0.034 0.290
Ga: 0.131 0.591 0.147
Ga: 0.869 0.853 0.409
Ga: 0.338 0.290 0.034
Ga: 0.000 0.500 0.500
Ga: 0.662 0.966 0.710
Ga: 0.131 0.147 0.591
Ga: 0.662 0.710 0.966
Ga: 0.869 0.409 0.853
Cu: 0.500 0.281 0.719
Cu: 0.500 0.719 0.281
Y: 0.319 0.681 0.681
Y: 0.000 0.000 0.000
Y: 0.681 0.319 0.319

***

This record from Alexandria via LeMat-Bulk describes Y3Ga7Cu4 at its PBEsol-relaxed geometry. The functional is meta-GGA SCAN.

Summary:
Energy relative to the elements, eV/atom: -0.584
SG: C2/m

Lattice parameters (Å, degrees): 4.110 7.936 7.953 72.05 75.03 74.99
Sites, in units of the cell vectors:
Ga: 0.137 0.591 0.136
Ga: 0.342 0.042 0.275
Ga: 0.658 0.958 0.725
Ga: 0.863 0.409 0.864
Ga: 0.000 0.500 0.500
Ga: 0.139 0.139 0.583
Ga: 0.861 0.861 0.417
Cu: 0.661 0.697 0.980
Cu: 0.339 0.303 0.020
Cu: 0.504 0.290 0.702
Cu: 0.496 0.710 0.298
Y: 0.309 0.682 0.700
Y: 0.691 0.318 0.300
Y: 0.000 0.000 0.000

***

This record from Alexandria via LeMat-Bulk describes YGa2Cu2 at its PBEsol-relaxed geometry. The functional is meta-GGA SCAN.

Summary:
Energy relative to the elements, eV/atom: -0.545
SG: I4/mmm

Lattice parameters (Å, degrees): 4.111 4.111 5.689 111.18 111.18 90.00
Sites, in units of the cell vectors:
Cu: 0.250 0.750 0.500
Cu: 0.750 0.250 0.500
Ga: 0.375 0.375 0.751
Ga: 0.625 0.625 0.249
Y: 0.000 0.000 0.000

***

This record from Alexandria via LeMat-Bulk describes ZrGa3Cu at its PBEsol-relaxed geometry. The functional is meta-GGA SCAN.

Summary:
Energy relative to the elements, eV/atom: 0.998
SG: Pm-3m

Lattice parameters (Å, degrees): 5.100 5.100 5.100 90.00 90.00 90.00
Sites, in units of the cell vectors:
Zr: 0.000 0.000 0.000
Ga: 0.000 0.500 0.000
Ga: 0.500 0.000 0.000
Ga: 0.000 0.000 0.500
Cu: 0.500 0.500 0.500

***

This record from Alexandria via LeMat-Bulk describes ZrGa2Cu2 at its PBEsol-relaxed geometry. The functional is meta-GGA SCAN.

Summary:
Energy relative to the elements, eV/atom: -0.422
SG: I4/mmm

Lattice parameters (Å, degrees): 3.845 3.845 5.786 109.41 109.41 90.00
Sites, in units of the cell vectors:
Cu: 0.250 0.750 0.500
Cu: 0.750 0.250 0.500
Ga: 0.385 0.385 0.771
Ga: 0.615 0.615 0.229
Zr: 0.000 0.000 0.000

***

This record from Alexandria via LeMat-Bulk describes GdCu2 at its PBEsol-relaxed geometry. The functional is meta-GGA SCAN.

Summary:
Energy relative to the elements, eV/atom: -0.226
SG: Imma

Lattice parameters (Å, degrees): 4.274 5.376 5.376 77.39 66.58 66.58
Sites, in units of the cell vectors:
Gd: 0.544 0.706 0.206
Gd: 0.456 0.294 0.794
Cu: 0.835 0.719 0.611
Cu: 0.835 0.111 0.219
Cu: 0.165 0.889 0.781
Cu: 0.165 0.281 0.389

***

Here are the calculated magnetization numbers, same order: 0.00; 0.00; 0.00; 0.00; 0.00; 0.00; 0.00; 0.00; 0.00; 0.00; 0.00; 7.54 (μB/f.u.).
Here are the calculated V numbers, same order: 80.9; 177.7; 409.3; 145.3; 61.4; 80.5; 243.2; 233.8; 82.6; 132.7; 75.5; 103.7 (Å³/cell).